1.
A relaxed structure of Ac3Sm8Tm, computed with PBE-GGA.

- Energy relative to the elements: 0.5430 eV per atom
- Total magnetization: 0.0 μB/cell
- Fermi-level density of states: 16.9 states/eV per cell

a b c (Å): 8.6957 8.6957 8.6957
angles (deg): 96.57 116.28 116.28
Atoms (fractional coordinates):
Sm  0.2472  0.3622  0.3622
Sm  0.9994  0.8849  0.6382
Sm  0.5366  0.7385  0.7385
Sm  0.7542  0.1157  0.1157
Sm  0.4638  0.2019  0.2019
Sm  0.9994  0.6382  0.8849
Sm  0.9997  0.7974  0.2615
Sm  0.9997  0.2615  0.7974
Ac  0.0000  0.5004  0.5004
Ac  0.4998  0.7496  0.2491
Ac  0.4998  0.2491  0.7496
Tm  0.0003  0.0005  0.0005

---

2.
A relaxed structure of AcSm2Tm2, computed with PBE-GGA.

- Energy relative to the elements: 0.1504 eV per atom
- Total magnetization: 0.0 μB/cell
- Fermi-level density of states: 14.6 states/eV per cell

a b c (Å): 3.6729 8.3356 11.9790
angles (deg): 90.00 90.00 102.73
Atoms (fractional coordinates):
Sm  0.2657  0.5313  0.7949
Sm  0.7343  0.4687  0.2949
Sm  0.9521  0.9041  0.2019
Sm  0.0479  0.0959  0.7019
Ac  0.3917  0.7834  0.4967
Ac  0.6083  0.2166  0.9967
Tm  0.9225  0.8449  0.9189
Tm  0.0775  0.1551  0.4189
Tm  0.7024  0.4048  0.5730
Tm  0.2976  0.5952  0.0730

---

3.
A relaxed structure of AcSm10Tm4, computed with PBE-GGA.

- Energy relative to the elements: 0.4984 eV per atom
- Total magnetization: 0.0 μB/cell
- Fermi-level density of states: 27.6 states/eV per cell

a b c (Å): 6.8461 9.6067 9.6067
angles (deg): 82.71 69.13 69.13
Atoms (fractional coordinates):
Tm  0.3210  0.2468  0.1111
Tm  0.4322  0.8889  0.2468
Tm  0.5678  0.1111  0.7532
Tm  0.6790  0.7532  0.8889
Sm  0.8804  0.5818  0.1615
Sm  0.4622  0.1615  0.4182
Sm  0.0420  0.8385  0.5818
Sm  0.5378  0.8385  0.5818
Sm  0.3763  0.5818  0.1615
Sm  0.7500  0.5000  0.5000
Sm  0.9580  0.1615  0.4182
Sm  0.6237  0.4182  0.8385
Sm  0.1196  0.4182  0.8385
Sm  0.2500  0.5000  0.5000
Ac  0.0000  0.0000  0.0000

---

4.
A relaxed structure of Ac2Sm2Tm, computed with PBE-GGA.

- Energy above the lowest structure with this stoichiometry: 41.01 kJ/mol of atoms
- Energy relative to the elements: 0.4915 eV per atom
- Total magnetization: 0.0 μB/cell
- Fermi-level density of states: 9.3 states/eV per cell

a b c (Å): 4.9146 4.9146 9.0229
angles (deg): 105.80 105.80 90.00
Atoms (fractional coordinates):
Ac  0.2500  0.7500  0.5000
Ac  0.7500  0.2500  0.5000
Sm  0.4094  0.4094  0.8188
Sm  0.5906  0.5906  0.1812
Tm  0.0000  0.0000  0.0000

---

5.
A relaxed structure of AcSm7Tm4, computed with PBE-GGA.

- Energy relative to the elements: 0.0123 eV per atom
- Total magnetization: 0.0 μB/cell
- Fermi-level density of states: 17.2 states/eV per cell

a b c (Å): 7.2870 9.6367 8.9729
angles (deg): 81.17 90.07 40.84
Atoms (fractional coordinates):
Sm  0.7565  0.5000  0.0013
Sm  0.7749  0.2255  0.3389
Sm  0.0279  0.7175  0.3381
Sm  0.5000  0.0000  0.0000
Sm  0.2251  0.7745  0.6611
Sm  0.2435  0.5000  0.9987
Sm  0.9721  0.2825  0.6619
Tm  0.7170  0.7824  0.6638
Tm  0.5367  0.7207  0.3367
Tm  0.2830  0.2176  0.3362
Tm  0.4633  0.2793  0.6633
Ac  0.0000  0.0000  0.0000

---

6.
A relaxed structure of AcSm2Tm6, computed with PBE-GGA.

- Energy relative to the elements: 0.1936 eV per atom
- Total magnetization: 0.0 μB/cell
- Fermi-level density of states: 13.4 states/eV per cell

a b c (Å): 8.7358 6.7285 9.2749
angles (deg): 111.27 42.18 90.00
Atoms (fractional coordinates):
Tm  0.7961  0.6609  0.8007
Tm  0.5825  0.3274  0.6549
Tm  0.2039  0.3391  0.1993
Tm  0.4175  0.6726  0.3451
Tm  0.7961  0.1398  0.8007
Tm  0.2039  0.8602  0.1993
Sm  0.3191  0.2374  0.4748
Sm  0.6809  0.7626  0.5252
Ac  0.0000  0.0000  0.0000

---

7.
A relaxed structure of Ac6Sm2Tm, computed with PBE-GGA.

- Energy relative to the elements: 0.1427 eV per atom
- Total magnetization: 0.0 μB/cell
- Fermi-level density of states: 29.5 states/eV per cell

a b c (Å): 10.1964 6.6961 10.8438
angles (deg): 90.50 90.00 90.00
Atoms (fractional coordinates):
Ac  0.2871  0.3533  0.6478
Ac  0.8817  0.1495  0.2051
Ac  0.2129  0.8533  0.1478
Ac  0.8449  0.6485  0.0170
Ac  0.3817  0.3505  0.2949
Ac  0.3449  0.8515  0.4830
Ac  0.7871  0.1467  0.8522
Ac  0.6551  0.1485  0.5170
Ac  0.6183  0.6495  0.7051
Ac  0.1183  0.8505  0.7949
Ac  0.7129  0.6467  0.3522
Ac  0.1551  0.3515  0.9830
Sm  0.9322  0.4868  0.6375
Sm  0.5678  0.9868  0.1375
Sm  0.0678  0.5132  0.3625
Sm  0.4322  0.0132  0.8625
Tm  0.5000  0.5000  0.0000
Tm  0.0000  0.0000  0.5000

---

8.
A relaxed structure of AcSm3Tm2, computed with PBE-GGA.

- Energy above the lowest structure with this stoichiometry: 0.00 kJ/mol of atoms
- Energy relative to the elements: 0.0893 eV per atom
- Total magnetization: 0.0 μB/cell
- Fermi-level density of states: 18.2 states/eV per cell

a b c (Å): 6.8036 6.8036 9.0724
angles (deg): 81.76 81.76 94.73
Atoms (fractional coordinates):
Sm  0.3647  0.1851  0.9832
Sm  0.4052  0.5948  0.7500
Sm  0.6353  0.8149  0.0168
Sm  0.8149  0.6353  0.5168
Sm  0.1851  0.3647  0.4832
Sm  0.5948  0.4052  0.2500
Tm  0.8737  0.3855  0.8764
Tm  0.3855  0.8737  0.3764
Tm  0.6145  0.1263  0.6236
Tm  0.1263  0.6145  0.1236
Ac  0.0646  0.9354  0.7500
Ac  0.9354  0.0646  0.2500

---

9.
A relaxed structure of Ac2SmTm, computed with PBE-GGA.

- Energy above the lowest structure with this stoichiometry: 0.49 kJ/mol of atoms
- Energy relative to the elements: 0.0501 eV per atom
- Total magnetization: 0.0 μB/cell
- Fermi-level density of states: 4.6 states/eV per cell

a b c (Å): 3.8120 8.3504 7.4295
angles (deg): 131.00 120.84 62.85
Atoms (fractional coordinates):
Tm  0.7526  0.2524  0.4983
Ac  0.2523  0.7525  0.4981
Ac  0.7527  0.2525  0.9984
Sm  0.2521  0.7524  0.9980

---

10.
A relaxed structure of AcSm6Tm6, computed with PBE-GGA.

- Energy relative to the elements: 0.2014 eV per atom
- Total magnetization: 0.0 μB/cell
- Fermi-level density of states: 22.0 states/eV per cell

a b c (Å): 6.6546 6.6545 11.1542
angles (deg): 90.00 90.00 115.44
Atoms (fractional coordinates):
Sm  0.6430  0.3569  0.0000
Sm  0.3570  0.6431  0.0000
Sm  0.0000  0.0000  0.3396
Sm  0.0000  0.0000  0.6604
Sm  0.7313  0.2687  0.5000
Sm  0.2687  0.7313  0.5000
Tm  0.5000  0.5000  0.2975
Tm  0.5000  0.5000  0.7025
Tm  0.0000  0.5000  0.2295
Tm  0.0000  0.5000  0.7705
Tm  0.5000  0.0000  0.2295
Tm  0.5000  0.0000  0.7705
Ac  0.0000  0.0000  0.0000

---

11.
A relaxed structure of AcSm4Tm5, computed with PBE-GGA.

- Energy above the lowest structure with this stoichiometry: 17.97 kJ/mol of atoms
- Energy relative to the elements: 0.2254 eV per atom
- Total magnetization: 0.0 μB/cell
- Fermi-level density of states: 14.0 states/eV per cell

a b c (Å): 3.5812 11.2428 8.7627
angles (deg): 90.75 101.80 90.00
Atoms (fractional coordinates):
Sm  0.9702  0.2581  0.9404
Sm  0.3450  0.7504  0.6901
Sm  0.6550  0.2496  0.3099
Sm  0.0298  0.7419  0.0596
Tm  0.1776  0.9438  0.3552
Tm  0.1728  0.5434  0.3459
Tm  0.8224  0.0562  0.6448
Tm  0.8272  0.4566  0.6541
Tm  0.5000  0.5000  0.0000
Ac  0.5000  0.0000  0.0000

---

12.
A relaxed structure of AcSm2Tm, computed with PBE-GGA.

- Energy above the lowest structure with this stoichiometry: 0.00 kJ/mol of atoms
- Energy relative to the elements: 0.0454 eV per atom
- Total magnetization: 0.0 μB/cell
- Fermi-level density of states: 6.5 states/eV per cell

a b c (Å): 5.2523 5.1803 5.1803
angles (deg): 90.00 90.00 90.00
Atoms (fractional coordinates):
Tm  0.5000  0.5000  0.5000
Ac  0.5000  0.0000  0.0000
Sm  0.0000  0.5000  0.0000
Sm  0.0000  0.0000  0.5000

---

13.
A relaxed structure of AcSm3Tm, computed with PBE-GGA.

- Energy above the lowest structure with this stoichiometry: 0.00 kJ/mol of atoms
- Energy relative to the elements: 0.1536 eV per atom
- Total magnetization: 0.0 μB/cell
- Fermi-level density of states: 13.9 states/eV per cell

a b c (Å): 4.9471 10.2987 8.6554
angles (deg): 60.34 90.00 103.87
Atoms (fractional coordinates):
Tm  0.8315  0.6961  0.7016
Tm  0.2124  0.4580  0.7200
Sm  0.7497  0.5322  0.3852
Sm  0.9380  0.9090  0.9383
Sm  0.1060  0.2451  0.4833
Sm  0.5804  0.1938  0.7946
Sm  0.4636  0.9602  0.6269
Sm  0.2943  0.6219  0.0364
Ac  0.6380  0.3086  0.1255
Ac  0.4060  0.8455  0.2961

---

14.
A relaxed structure of AcSm4Tm5, computed with PBE-GGA.

- Energy above the lowest structure with this stoichiometry: 0.00 kJ/mol of atoms
- Energy relative to the elements: 0.0392 eV per atom
- Total magnetization: 0.0 μB/cell
- Fermi-level density of states: 15.1 states/eV per cell

a b c (Å): 3.6222 3.6222 25.0039
angles (deg): 90.00 90.00 90.00
Atoms (fractional coordinates):
Tm  0.5000  0.5000  0.8922
Tm  0.5000  0.5000  0.6963
Tm  0.5000  0.5000  0.3037
Tm  0.5000  0.5000  0.5000
Tm  0.5000  0.5000  0.1078
Sm  0.0000  0.0000  0.2051
Sm  0.0000  0.0000  0.5983
Sm  0.0000  0.0000  0.4017
Sm  0.0000  0.0000  0.7949
Ac  0.0000  0.0000  0.0000

---

15.
A relaxed structure of AcSm12Tm7, computed with PBE-GGA.

- Energy above the lowest structure with this stoichiometry: 0.00 kJ/mol of atoms
- Energy relative to the elements: 0.2302 eV per atom
- Total magnetization: 0.0 μB/cell
- Fermi-level density of states: 33.4 states/eV per cell

a b c (Å): 8.7626 8.7626 8.7626
angles (deg): 88.48 88.48 88.48
Atoms (fractional coordinates):
Tm  0.0595  0.1540  0.3876
Tm  0.8460  0.6124  0.9405
Tm  0.6124  0.9405  0.8460
Tm  0.1540  0.3876  0.0595
Tm  0.5000  0.5000  0.5000
Tm  0.9405  0.8460  0.6124
Tm  0.3876  0.0595  0.1540
Sm  0.2748  0.1403  0.7211
Sm  0.1403  0.7211  0.2748
Sm  0.4961  0.6252  0.1410
Sm  0.8597  0.2789  0.7252
Sm  0.2789  0.7252  0.8597
Sm  0.8590  0.5039  0.3748
Sm  0.1410  0.4961  0.6252
Sm  0.7252  0.8597  0.2789
Sm  0.7211  0.2748  0.1403
Sm  0.6252  0.1410  0.4961
Sm  0.5039  0.3748  0.8590
Sm  0.3748  0.8590  0.5039
Ac  0.0000  0.0000  0.0000

---

16.
A relaxed structure of AcSm6Tm12, computed with PBE-GGA.

- Energy relative to the elements: 0.4376 eV per atom
- Total magnetization: 0.0 μB/cell
- Fermi-level density of states: 28.9 states/eV per cell

a b c (Å): 9.1662 9.1662 9.1662
angles (deg): 105.42 105.42 105.42
Atoms (fractional coordinates):
Ac  0.0000  0.0000  0.0000
Sm  0.2933  0.6961  0.6961
Sm  0.3039  0.7067  0.3039
Sm  0.6961  0.6961  0.2933
Sm  0.7067  0.3039  0.3039
Sm  0.3039  0.3039  0.7067
Sm  0.6961  0.2933  0.6961
Tm  0.1124  0.8876  0.5000
Tm  0.8874  0.6452  0.6452
Tm  0.6452  0.8874  0.6452
Tm  0.5000  0.8876  0.1124
Tm  0.3548  0.3548  0.1126
Tm  0.6452  0.6452  0.8874
Tm  0.1124  0.5000  0.8876
Tm  0.1126  0.3548  0.3548
Tm  0.3548  0.1126  0.3548
Tm  0.8876  0.1124  0.5000
Tm  0.5000  0.1124  0.8876
Tm  0.8876  0.5000  0.1124

---

17.
A relaxed structure of Ac2SmTm, computed with PBE-GGA.

- Energy above the lowest structure with this stoichiometry: 2.60 kJ/mol of atoms
- Energy relative to the elements: 0.0720 eV per atom
- Total magnetization: 0.0 μB/cell
- Fermi-level density of states: 6.3 states/eV per cell

a b c (Å): 3.8078 3.8078 12.3000
angles (deg): 81.10 81.10 60.00
Atoms (fractional coordinates):
Sm  0.4990  0.4990  0.5029
Ac  0.2514  0.2514  0.2459
Ac  0.0821  0.0821  0.7538
Tm  0.6675  0.6675  0.9975

---

18.
A relaxed structure of AcSm5Tm, computed with PBE-GGA.

- Energy relative to the elements: 0.0954 eV per atom
- Total magnetization: 0.0 μB/cell
- Fermi-level density of states: 19.7 states/eV per cell

a b c (Å): 6.7086 6.7086 12.1690
angles (deg): 106.15 106.15 96.69
Atoms (fractional coordinates):
Sm  0.2415  0.5311  0.9659
Sm  0.3837  0.0312  0.8300
Sm  0.1729  0.8271  0.2500
Sm  0.6163  0.9688  0.1700
Sm  0.7585  0.4689  0.0341
Sm  0.9688  0.6163  0.6700
Sm  0.4689  0.7585  0.5341
Sm  0.5311  0.2415  0.4659
Sm  0.0312  0.3837  0.3300
Sm  0.8271  0.1729  0.7500
Ac  0.0000  0.0000  0.5000
Ac  0.0000  0.0000  0.0000
Tm  0.4883  0.5117  0.7500
Tm  0.5117  0.4883  0.2500

---

19.
A relaxed structure of AcSm5Tm2, computed with PBE-GGA.

- Energy relative to the elements: 0.0310 eV per atom
- Total magnetization: 0.0 μB/cell
- Fermi-level density of states: 22.8 states/eV per cell

a b c (Å): 5.1197 7.2837 14.5698
angles (deg): 90.00 90.00 90.00
Atoms (fractional coordinates):
Tm  0.5000  0.2493  0.1275
Tm  0.5000  0.2507  0.6275
Tm  0.5000  0.7507  0.8725
Tm  0.5000  0.7493  0.3725
Sm  0.5000  0.2444  0.8724
Sm  0.5000  0.2556  0.3724
Sm  0.0000  0.5000  0.5000
Sm  0.0000  0.5032  0.2526
Sm  0.0000  0.4968  0.7474
Sm  0.0000  0.0000  0.0000
Sm  0.0000  0.0032  0.2474
Sm  0.5000  0.7444  0.6276
Sm  0.0000  0.9968  0.7526
Sm  0.5000  0.7556  0.1276
Ac  0.0000  0.0000  0.5000
Ac  0.0000  0.5000  0.0000

---

20.
A relaxed structure of AcSm4Tm8, computed with PBE-GGA.

- Energy relative to the elements: 0.5397 eV per atom
- Total magnetization: 2.6 μB/cell
- Fermi-level density of states: 22.0 states/eV per cell

a b c (Å): 7.8105 7.8105 7.8105
angles (deg): 90.08 90.08 90.08
Last column: magnetic moment on the atom in μB.
Atoms (fractional coordinates):
Sm  0.0000  0.5000  0.5000  0.23
Sm  0.0000  0.0000  0.0000  -0.07
Sm  0.5000  0.0000  0.5000  0.23
Sm  0.5000  0.5000  0.0000  0.23
Tm  0.7625  0.2364  0.2364  0.14
Tm  0.7636  0.7636  0.2375  0.14
Tm  0.2367  0.2367  0.2367  0.13
Tm  0.7636  0.2375  0.7636  0.14
Tm  0.2364  0.2364  0.7625  0.14
Tm  0.7633  0.7633  0.7633  0.13
Tm  0.2364  0.7625  0.2364  0.14
Tm  0.2375  0.7636  0.7636  0.14
Ac  0.5000  0.5000  0.5000  0.07

---

21.
A relaxed structure of Ac2Sm5Tm2, computed with PBE-GGA.

- Energy relative to the elements: 0.0940 eV per atom
- Total magnetization: 0.0 μB/cell
- Fermi-level density of states: 15.1 states/eV per cell

a b c (Å): 3.6742 12.4022 10.4511
angles (deg): 47.98 100.28 81.71
Atoms (fractional coordinates):
Ac  0.2805  0.3229  0.8830
Ac  0.7195  0.6771  0.1170
Sm  0.1527  0.2749  0.5703
Sm  0.5642  0.6533  0.7813
Sm  0.0000  0.0000  0.0000
Sm  0.8473  0.7251  0.4297
Sm  0.4358  0.3467  0.2187
Tm  0.8530  0.9693  0.6709
Tm  0.1470  0.0307  0.3291